Entry 1:
A plane-wave DFT calculation with PBE-GGA was carried out for a relaxed structure of KGa2Pb.

Summary:
Size of the total moment (μB/cell): 0.00
Formation energy from the elements (eV per atom): 0.089

Lattice parameters (Å, degrees): 5.283 5.283 10.851 75.91 75.91 90.00
Fractional positions:
Pb1 0.000 0.000 0.000
Pb2 0.750 0.250 0.500
K1 0.500 0.500 0.000
K2 0.250 0.750 0.500
Ga1 0.873 0.125 0.250
Ga2 0.877 0.625 0.250
Ga3 0.375 0.127 0.750
Ga4 0.875 0.123 0.750

---

Entry 2:
A plane-wave DFT calculation with PBE-GGA was carried out for a relaxed structure of K2GaPb.

Summary:
Size of the total moment (μB/cell): 0.00
Formation energy from the elements (eV per atom): 0.131
Relative energy among the computed polymorphs (meV per atom): 203

Lattice parameters (Å, degrees): 5.880 5.880 5.880 60.00 60.00 60.00
Fractional positions:
Pb1 0.500 0.500 0.500
K1 0.250 0.250 0.250
K2 0.750 0.750 0.750
Ga1 0.000 0.000 0.000

---

Entry 3:
A plane-wave DFT calculation with PBE-GGA was carried out for a relaxed structure of KGaPdPb2.

Summary:
Size of the total moment (μB/cell): 0.00
Formation energy from the elements (eV per atom): 1.047

Lattice parameters (Å, degrees): 6.015 5.023 6.015 90.00 90.00 90.00
Fractional positions:
Pb1 0.000 0.000 0.500
Pb2 0.500 0.000 0.000
K1 0.000 0.000 0.000
Ga1 0.500 0.500 0.500
Pd1 0.000 0.500 0.000